A relaxed structure of Ti2AsAu2. Source: the Alexandria database, functional GGA-PBE.

Cell and atoms, written as POSCAR:
```
Ti2AsAu2
1.0
-1.951 5.983 2.266
-6.211 -2.340 0.832
0.942 -1.140 3.822
As Au Ti
2 4 4
Cartesian
0.000 0.000 0.000
-4.081 1.822 1.549
-3.819 -1.212 2.776
-6.098 1.289 4.084
-3.402 3.714 4.144
-1.123 1.214 2.836
-5.917 0.084 1.483
-5.719 3.518 2.459
-2.246 3.559 1.615
-2.443 0.125 0.639
```

Calculated values
formation enthalpy at 0 K	-1.79	eV/f.u.